CsRb2LiSn PBE optimized geometry; E above lowest polymorph = 9.3 meV/atom; total DFT energy (no corrections) = -1.739 eV/atom; energy of formation from the pure elements = 0.002 eV/atom
1.0
7.2628 0.0000 0.0000
0.0000 7.2628 0.0000
0.0000 0.0000 5.6383
Cs Rb Li Sn
1 2 1 1
Cartesian
0.0000 0.0000 0.0000
0.0000 3.6314 2.8192
3.6314 0.0000 2.8192
3.6314 3.6314 0.0000
3.6314 3.6314 2.8192